# 1
The following is a GGA-PBE calculation of a geometry-optimized KSr2Ru structure, from Alexandria via LeMat-Bulk.

excess energy over the best structure of this formula in the dataset: 108 meV/atom
calculated formation energy: 444.9 meV per atom

Cell lengths 4.5517, 4.5517, 10.8619 Å; angles 95.50, 95.50, 49.54 degrees
Fractional positions:
K1 0.0000 0.0000 0.0000
Sr1 0.2193 0.2193 0.6511
Sr2 0.7807 0.7807 0.3489
Ru1 0.5000 0.5000 0.5000

# 2
The following is a GGA-PBE calculation of a geometry-optimized KSr2Ru structure, from Alexandria via LeMat-Bulk.

excess energy over the best structure of this formula in the dataset: 446 meV/atom
calculated formation energy: 783.4 meV per atom

Cell lengths 6.3556, 6.3556, 6.3556 Å; angles 133.60, 133.60, 67.72 degrees
Fractional positions:
K1 0.0000 0.0000 0.0000
Sr1 0.5000 0.5000 0.0000
Sr2 0.7500 0.2500 0.5000
Ru1 0.2500 0.7500 0.5000

# 3
The following is a GGA-PBE calculation of a geometry-optimized KSrRu structure, from Alexandria via LeMat-Bulk.

excess energy over the best structure of this formula in the dataset: 165 meV/atom
calculated formation energy: 989.2 meV per atom

Cell lengths 5.4100, 5.4100, 3.2411 Å; angles 90.00, 90.00, 120.00 degrees
Fractional positions:
K1 0.0000 0.0000 0.0000
Sr1 0.3333 0.6667 0.6660
Ru1 0.6667 0.3333 0.2719

# 4
The following is a GGA-PBE calculation of a geometry-optimized KSr2Ru structure, from Alexandria via LeMat-Bulk.

excess energy over the best structure of this formula in the dataset: 269 meV/atom
calculated formation energy: 606.8 meV per atom

Cell lengths 4.2467, 4.2467, 9.7486 Å; angles 90.00, 90.00, 90.00 degrees
Fractional positions:
K1 0.0000 0.0000 0.0000
Sr1 0.0000 0.0000 0.3660
Sr2 0.5000 0.5000 0.6407
Ru1 0.5000 0.5000 0.3664

# 5
The following is a GGA-PBE calculation of a geometry-optimized KSr4Ru structure, from Alexandria via LeMat-Bulk.

calculated formation energy: 971.0 meV per atom

Cell lengths 7.4698, 7.4698, 7.4698 Å; angles 60.00, 60.00, 60.00 degrees
Fractional positions:
K1 0.0000 0.0000 0.0000
Sr1 0.3761 0.3761 0.3761
Sr2 0.3761 0.3761 0.8718
Sr3 0.3761 0.8718 0.3761
Sr4 0.8718 0.3761 0.3761
Ru1 0.7500 0.7500 0.7500

# 6
The following is a GGA-PBE calculation of a geometry-optimized K3SrRu structure, from Alexandria via LeMat-Bulk.

excess energy over the best structure of this formula in the dataset: 0 meV/atom
calculated formation energy: 1007.5 meV per atom

Cell lengths 6.2305, 6.2305, 6.2305 Å; angles 90.00, 90.00, 90.00 degrees
Fractional positions:
K1 0.0000 0.0000 0.5000
K2 0.0000 0.5000 0.0000
K3 0.5000 0.0000 0.0000
Sr1 0.5000 0.5000 0.5000
Ru1 0.0000 0.0000 0.0000

# 7
The following is a GGA-PBE calculation of a geometry-optimized KSr2Ru structure, from Alexandria via LeMat-Bulk.

excess energy over the best structure of this formula in the dataset: 161 meV/atom
calculated formation energy: 498.1 meV per atom

Cell lengths 9.6445, 9.6445, 9.6445 Å; angles 158.12, 150.21, 37.27 degrees
Fractional positions:
K1 0.0000 0.0000 0.0000
Sr1 0.3074 0.3074 0.0000
Sr2 0.6577 0.1577 0.5000
Ru1 0.1792 0.6792 0.5000

# 8
The following is a GGA-PBE calculation of a geometry-optimized KSr2Ru structure, from Alexandria via LeMat-Bulk.

excess energy over the best structure of this formula in the dataset: 0 meV/atom
calculated formation energy: 337.3 meV per atom

Cell lengths 3.7340, 3.7344, 11.1407 Å; angles 90.00, 90.05, 90.00 degrees
Fractional positions:
K1 0.0000 0.0000 0.0000
Sr1 0.4984 0.5000 0.3450
Sr2 0.5016 0.5000 0.6550
Ru1 0.0000 0.0000 0.5000

| no. | density of states at the Fermi level (states/eV per cell) |
| --- | --- |
| 1 | 4.323 |
| 2 | 4.733 |
| 3 | 2.971 |
| 4 | 4.081 |
| 5 | 10.877 |
| 6 | 10.492 |
| 7 | 5.446 |
| 8 | 3.625 |